First-principles (PBE) data for crystalline AcDySnAu at its relaxed geometry, as listed in Alexandria.

E_form in eV per atom: -0.646
Total DFT energy (no corrections) in eV per atom: -4.644
SG: F-43m

Unit cell a=5.4702 b=5.4702 c=5.4702 alpha=60.00 beta=60.00 gamma=60.00
Closest atoms and distances in Å follow each position.
Fractional positions:
Ac  0.0000  0.0000  0.0000  4 Sn 3.35, 4 Au 3.35
Dy  0.5000  0.5000  0.5000  4 Sn 3.35, 4 Au 3.35
Sn  0.7500  0.7500  0.7500  4 Dy 3.35, 4 Ac 3.35
Au  0.2500  0.2500  0.2500  4 Dy 3.35, 4 Ac 3.35